! Pr2Dy3Rh2 | Alexandria via LeMat-Bulk | GGA-PBE | optimized geometry; values from VASP
! DOS(E_F): 7.37 states/eV/cell
! uncorrected energy: -5.979 eV/atom
! formation energy: -3.8 eV per formula unit
! space group: No. 12
&SYSTEM
  ibrav = 0, nat = 7, ntyp = 3
/
ATOMIC_SPECIES
Pr 140.91 Pr.upf
Dy 162.50 Dy.upf
Rh 102.91 Rh.upf
ATOMIC_POSITIONS angstrom
Pr 1.897 3.472 1.305
Pr 0.000 -0.760 6.643
Dy 1.897 0.000 0.000
Dy 1.897 -0.031 3.513
Dy 0.000 2.744 4.435
Rh 1.897 1.452 6.060
Rh 0.000 1.261 1.888
CELL_PARAMETERS angstrom
3.794 0.000 0.000
-1.897 6.155 -0.482
0.000 -3.442 8.429

---

! Ta2CdCl | Alexandria via LeMat-Bulk | GGA-PBE | optimized geometry; values from VASP
! DOS(E_F): 4.15 states/eV/cell
! energy relative to the lowest polymorph listed for this composition: 899.2 meV/atom
! uncorrected energy: -5.783 eV/atom
! uncorrected formation energy: 0.83 eV per atom
! space group: No. 123
&SYSTEM
  ibrav = 0, nat = 4, ntyp = 3
/
ATOMIC_SPECIES
Cl 35.45 Cl.upf
Cd 112.41 Cd.upf
Ta 180.95 Ta.upf
ATOMIC_POSITIONS angstrom
Cl 0.865 2.797 1.272
Cd -1.839 2.039 1.628
Ta 0.000 0.000 0.000
Ta 0.357 0.045 2.807
CELL_PARAMETERS angstrom
-1.331 4.792 0.092
-2.346 -0.713 3.164
3.061 0.803 2.451

---

! Cs2Tl6PtPb | Alexandria via LeMat-Bulk | GGA-PBE | optimized geometry; values from VASP
! DOS(E_F): 10.12 states/eV/cell
! uncorrected energy: -2.610 eV/atom
! formation energy: -0.5 eV per formula unit
! space group: No. 166
&SYSTEM
  ibrav = 0, nat = 20, ntyp = 4
/
ATOMIC_SPECIES
Cs 132.91 Cs.upf
Tl 204.38 Tl.upf
Pt 195.08 Pt.upf
Pb 207.20 Pb.upf
ATOMIC_POSITIONS angstrom
Cs 13.181 7.610 5.458
Cs 4.394 2.537 6.820
Cs 13.181 7.610 10.397
Cs 4.394 2.537 1.881
Tl 10.620 4.015 4.289
Tl 8.787 7.190 4.289
Tl 6.955 4.015 4.289
Tl 6.955 6.132 7.989
Tl 8.787 2.957 7.989
Tl 10.620 6.132 7.989
Tl 11.442 3.541 10.298
Tl 8.787 8.138 10.298
Tl 6.133 3.541 10.298
Tl 6.133 6.606 1.980
Tl 8.787 2.008 1.980
Tl 11.442 6.606 1.980
Pt 0.000 0.000 0.000
Pt 8.787 5.073 6.139
Pb 8.787 5.073 1.739
Pb 8.787 5.073 10.539
CELL_PARAMETERS angstrom
8.787 0.000 0.000
4.394 7.610 0.000
4.394 2.537 12.278

---

! Th4Pb5C | Alexandria via LeMat-Bulk | GGA-PBE | optimized geometry; values from VASP
! DOS(E_F): 8.03 states/eV/cell
! uncorrected energy: -5.868 eV/atom
! formation energy: -1.2 eV per formula unit
! space group: No. 12
&SYSTEM
  ibrav = 0, nat = 10, ntyp = 3
/
ATOMIC_SPECIES
Th 232.04 Th.upf
Pb 207.20 Pb.upf
C 12.01 C.upf
ATOMIC_POSITIONS angstrom
Th 0.241 -3.117 9.838
Th -2.908 -4.748 9.487
Th -2.115 -2.114 1.012
Th 1.034 -0.482 1.363
Pb -1.310 -3.920 6.609
Pb -3.513 -3.018 4.099
Pb 1.639 -2.213 6.751
Pb 2.844 -2.998 3.030
Pb -0.563 -1.310 4.241
C -0.086 -1.724 -0.544
CELL_PARAMETERS angstrom
-0.173 -3.448 -1.088
5.861 -2.549 7.147
-7.562 0.767 4.791

---

! TcRuSe2 | Alexandria via LeMat-Bulk | GGA-PBE | optimized geometry; values from VASP
! DOS(E_F): 3.50 states/eV/cell
! energy relative to the lowest polymorph listed for this composition: 85.6 meV/atom
! uncorrected energy: -6.644 eV/atom
! uncorrected formation energy: 0.01 eV per atom
! space group: No. 25
&SYSTEM
  ibrav = 0, nat = 4, ntyp = 3
/
ATOMIC_SPECIES
Ru 101.07 Ru.upf
Se 78.96 Se.upf
Tc 98.00 Tc.upf
ATOMIC_POSITIONS angstrom
Ru -4.797 -2.310 -0.130
Se -4.656 -2.294 2.528
Se -2.865 -1.358 -1.179
Tc -2.729 -1.345 1.481
CELL_PARAMETERS angstrom
-1.802 1.816 -1.671
-0.164 -2.676 -2.731
-5.233 -2.578 2.841

---

! VInSnGe2 | Alexandria via LeMat-Bulk | GGA-PBE | optimized geometry; values from VASP
! DOS(E_F): 3.21 states/eV/cell
! uncorrected energy: -4.680 eV/atom
! formation energy: 1.7 eV per formula unit
! space group: No. 123
&SYSTEM
  ibrav = 0, nat = 5, ntyp = 4
/
ATOMIC_SPECIES
Ge 72.64 Ge.upf
V 50.94 V.upf
Sn 118.71 Sn.upf
In 114.82 In.upf
ATOMIC_POSITIONS angstrom
Ge -0.924 -1.251 1.827
Ge -1.310 1.904 0.641
V 0.000 0.000 0.000
Sn -4.187 -0.167 0.918
In -1.952 -0.821 -1.550
CELL_PARAMETERS angstrom
-2.620 3.809 1.283
-3.905 -1.642 -3.100
-1.848 -2.502 3.653

---

! K2Ce2DySe6 | Alexandria via LeMat-Bulk | GGA-PBE | optimized geometry; values from VASP
! DOS(E_F): 6.07 states/eV/cell
! uncorrected energy: -5.317 eV/atom
! uncorrected formation energy: -1.72 eV per atom
! space group: No. 12
&SYSTEM
  ibrav = 0, nat = 11, ntyp = 4
/
ATOMIC_SPECIES
K 39.10 K.upf
Ce 140.12 Ce.upf
Dy 162.50 Dy.upf
Se 78.96 Se.upf
ATOMIC_POSITIONS angstrom
K -3.895 -3.808 -1.412
K 1.067 -1.860 5.202
Ce -2.496 0.921 4.320
Ce -4.970 -0.050 1.023
Dy -2.319 3.270 0.777
Se -5.341 0.397 3.890
Se -2.668 3.757 3.612
Se -2.125 0.475 1.454
Se -5.139 2.787 0.317
Se -4.798 -2.886 1.732
Se -2.327 -1.915 5.027
CELL_PARAMETERS angstrom
-5.139 -4.296 -3.071
2.311 -1.372 6.861
-4.638 6.539 1.554

---

! LiTaW3 | Alexandria via LeMat-Bulk | GGA-PBE | optimized geometry; values from VASP
! DOS(E_F): 3.30 states/eV/cell
! energy relative to the lowest polymorph listed for this composition: 869.2 meV/atom
! uncorrected energy: -8.342 eV/atom
! formation energy: 10.9 eV per formula unit
! space group: No. 221
&SYSTEM
  ibrav = 0, nat = 5, ntyp = 3
/
ATOMIC_SPECIES
Li 6.94 Li.upf
W 183.84 W.upf
Ta 180.95 Ta.upf
ATOMIC_POSITIONS angstrom
Li 2.412 2.412 2.412
W 0.000 2.412 0.000
W 0.000 0.000 2.412
W 2.412 0.000 0.000
Ta 0.000 0.000 0.000
CELL_PARAMETERS angstrom
4.825 0.000 0.000
0.000 4.825 0.000
0.000 0.000 4.825

---

! RbCo2Cl | Alexandria via LeMat-Bulk | GGA-PBE | optimized geometry; values from VASP
! DOS(E_F): 13.34 states/eV/cell
! energy relative to the lowest polymorph listed for this composition: 897.1 meV/atom
! uncorrected energy: -2.856 eV/atom
! uncorrected formation energy: 1.40 eV per atom
! space group: No. 225
&SYSTEM
  ibrav = 0, nat = 4, ntyp = 3
/
ATOMIC_SPECIES
Co 58.93 Co.upf
Rb 85.47 Rb.upf
Cl 35.45 Cl.upf
ATOMIC_POSITIONS angstrom
Co -0.701 -2.854 -0.148
Co -2.104 -8.563 -0.445
Rb -1.402 -5.708 -0.297
Cl 0.000 0.000 0.000
CELL_PARAMETERS angstrom
-1.387 -3.837 2.539
-3.009 -3.205 -1.940
1.592 -4.374 -1.193

---

! PaZnIrPt | Alexandria via LeMat-Bulk | GGA-PBE | optimized geometry; values from VASP
! DOS(E_F): 3.21 states/eV/cell
! uncorrected energy: -7.046 eV/atom
! formation energy: -2.5 eV per formula unit
! space group: No. 216
&SYSTEM
  ibrav = 0, nat = 4, ntyp = 4
/
ATOMIC_SPECIES
Zn 65.41 Zn.upf
Pa 231.04 Pa.upf
Pt 195.08 Pt.upf
Ir 192.22 Ir.upf
ATOMIC_POSITIONS angstrom
Zn -5.735 5.981 -2.541
Pa -1.912 1.994 -0.847
Pt 0.000 0.000 0.000
Ir -3.823 3.988 -1.694
CELL_PARAMETERS angstrom
-0.642 3.826 -2.685
-4.135 0.699 -2.160
-2.869 3.450 1.457

---

! ScNiRu2Pt | Alexandria via LeMat-Bulk | GGA-PBE | optimized geometry; values from VASP
! DOS(E_F): 7.48 states/eV/cell
! uncorrected energy: -6.634 eV/atom
! formation energy: 3.5 eV per formula unit
! space group: No. 123
&SYSTEM
  ibrav = 0, nat = 5, ntyp = 4
/
ATOMIC_SPECIES
Sc 44.96 Sc.upf
Ru 101.07 Ru.upf
Pt 195.08 Pt.upf
Ni 58.69 Ni.upf
ATOMIC_POSITIONS angstrom
Sc 1.778 -1.377 -0.238
Ru -0.867 -1.378 1.490
Ru -1.052 -1.080 -1.611
Pt -0.141 -3.835 -0.359
Ni 0.000 0.000 0.000
CELL_PARAMETERS angstrom
-2.104 -2.161 -3.222
3.556 -2.753 -0.476
-1.734 -2.755 2.980

---

! RbNaBe2I6 | Alexandria via LeMat-Bulk | GGA-PBE | optimized geometry; values from VASP
! DOS(E_F): 0.00 states/eV/cell
! uncorrected energy: -2.749 eV/atom
! uncorrected formation energy: -0.85 eV per atom
! space group: No. 15
&SYSTEM
  ibrav = 0, nat = 20, ntyp = 4
/
ATOMIC_SPECIES
Rb 85.47 Rb.upf
Na 22.99 Na.upf
Be 9.01 Be.upf
I 126.90 I.upf
ATOMIC_POSITIONS angstrom
Rb -0.960 7.595 1.951
Rb 6.435 -1.404 6.155
Na 3.424 3.719 1.951
Na 2.051 2.472 6.155
Be 2.162 -1.099 6.391
Be 5.609 2.800 5.919
Be 3.313 7.291 1.715
Be -0.134 3.392 2.186
I 9.468 1.638 1.444
I 6.230 -2.025 2.458
I -3.993 4.554 6.662
I -0.755 8.216 5.648
I 1.038 1.765 1.074
I 5.071 6.327 2.827
I 4.437 4.426 7.031
I 0.404 -0.135 5.279
I 0.892 4.571 3.931
I 2.268 6.128 -0.030
I 4.583 1.620 4.174
I 3.206 0.064 8.136
CELL_PARAMETERS angstrom
11.734 -2.399 -0.152
-3.817 11.352 -0.152
-2.443 -2.762 8.409

---

! PmInF6 | Alexandria via LeMat-Bulk | GGA-PBE | optimized geometry; values from VASP
! DOS(E_F): 0.00 states/eV/cell
! uncorrected energy: -5.630 eV/atom
! uncorrected formation energy: -3.29 eV per atom
! space group: No. 148
&SYSTEM
  ibrav = 0, nat = 8, ntyp = 3
/
ATOMIC_SPECIES
Pm 145.00 Pm.upf
In 114.82 In.upf
F 19.00 F.upf
ATOMIC_POSITIONS angstrom
Pm 5.751 3.329 2.609
In 0.000 0.000 0.000
F 3.963 2.956 3.957
F 6.964 1.964 3.958
F 5.179 1.599 1.254
F 4.539 4.693 1.259
F 7.539 3.701 1.261
F 6.323 5.058 3.964
CELL_PARAMETERS angstrom
5.758 0.008 0.007
2.873 4.990 0.011
2.871 1.659 5.200

---

! Co2Si2Au | Alexandria via LeMat-Bulk | GGA-PBE | optimized geometry; values from VASP
! DOS(E_F): 1.40 states/eV/cell
! energy relative to the lowest polymorph listed for this composition: 93.1 meV/atom
! uncorrected energy: -5.886 eV/atom
! uncorrected formation energy: -0.22 eV per atom
! space group: No. 139
&SYSTEM
  ibrav = 0, nat = 5, ntyp = 3
/
ATOMIC_SPECIES
Co 58.93 Co.upf
Si 28.09 Si.upf
Au 196.97 Au.upf
ATOMIC_POSITIONS angstrom
Co 1.766 1.766 1.227
Co 3.532 3.532 4.098
Si 3.532 1.766 2.662
Si 1.766 3.532 2.662
Au 0.000 0.000 0.000
CELL_PARAMETERS angstrom
3.532 0.000 0.000
0.000 3.532 0.000
1.766 1.766 5.325

---

! LiPb4F10 | Alexandria via LeMat-Bulk | GGA-PBE | optimized geometry; values from VASP
! DOS(E_F): 7.61 states/eV/cell
! uncorrected energy: -4.678 eV/atom
! uncorrected formation energy: -2.31 eV per atom
! space group: No. 166
&SYSTEM
  ibrav = 0, nat = 15, ntyp = 3
/
ATOMIC_SPECIES
Li 6.94 Li.upf
Pb 207.20 Pb.upf
F 19.00 F.upf
ATOMIC_POSITIONS angstrom
Li 0.000 0.000 0.000
Pb 2.503 1.460 13.943
Pb 5.003 2.918 10.753
Pb 1.295 0.755 6.618
Pb 3.795 2.213 3.428
F 5.941 3.464 3.125
F 0.982 0.573 9.167
F 3.465 2.021 6.115
F 2.238 1.305 16.102
F 4.675 2.726 13.427
F 4.060 2.368 1.270
F 5.316 3.100 8.204
F 1.623 0.947 3.945
F 0.358 0.209 14.246
F 2.833 1.652 11.256
CELL_PARAMETERS angstrom
4.154 0.000 0.510
2.045 3.615 0.510
0.099 0.058 16.351

---

! BiAsSe2N | Alexandria via LeMat-Bulk | GGA-PBE | optimized geometry; values from VASP
! DOS(E_F): 6.08 states/eV/cell
! energy relative to the lowest polymorph listed for this composition: 676.1 meV/atom
! uncorrected energy: -3.519 eV/atom
! uncorrected formation energy: 1.25 eV per atom
! space group: No. 123
&SYSTEM
  ibrav = 0, nat = 5, ntyp = 4
/
ATOMIC_SPECIES
As 74.92 As.upf
Bi 208.98 Bi.upf
Se 78.96 Se.upf
N 14.01 N.upf
ATOMIC_POSITIONS angstrom
As 2.760 2.760 2.066
Bi 0.000 0.000 0.000
Se 0.000 2.760 0.000
Se 2.760 0.000 0.000
N 0.000 0.000 2.066
CELL_PARAMETERS angstrom
5.521 0.000 0.000
0.000 5.521 0.000
0.000 0.000 4.133

---

! HgRu2W | Alexandria via LeMat-Bulk | GGA-PBE | optimized geometry; values from VASP
! DOS(E_F): 3.69 states/eV/cell
! energy relative to the lowest polymorph listed for this composition: 236.7 meV/atom
! uncorrected energy: -7.496 eV/atom
! formation energy: 1.8 eV per formula unit
! space group: No. 8
&SYSTEM
  ibrav = 0, nat = 4, ntyp = 3
/
ATOMIC_SPECIES
Hg 200.59 Hg.upf
Ru 101.07 Ru.upf
W 183.84 W.upf
ATOMIC_POSITIONS angstrom
Hg 7.491 2.247 3.641
Ru 9.003 2.701 0.057
Ru 2.606 0.782 1.260
W 5.070 1.521 2.186
CELL_PARAMETERS angstrom
4.971 0.005 0.009
4.153 2.732 0.009
0.906 0.272 4.732

---

! LaPmTmCd | Alexandria via LeMat-Bulk | GGA-PBE | optimized geometry; values from VASP
! DOS(E_F): 5.24 states/eV/cell
! energy relative to the lowest polymorph listed for this composition: 77.2 meV/atom
! uncorrected energy: -3.829 eV/atom
! formation energy: -0.3 eV per formula unit
! space group: No. 216
&SYSTEM
  ibrav = 0, nat = 4, ntyp = 4
/
ATOMIC_SPECIES
Cd 112.41 Cd.upf
Tm 168.93 Tm.upf
La 138.91 La.upf
Pm 145.00 Pm.upf
ATOMIC_POSITIONS angstrom
Cd 0.000 0.000 0.000
Tm -5.192 -2.032 3.934
La -2.596 -1.016 1.967
Pm -7.788 -3.048 5.901
CELL_PARAMETERS angstrom
-3.156 1.309 4.401
-5.402 -1.362 0.057
-1.826 -4.010 3.410